# 1
A plane-wave DFT calculation with GGA-PBE was carried out for a relaxed structure of TlFeTeAuSe2.

```
TlFeTeAuSe2
1.0
1.7605 -7.7691 0.0000
1.7605 7.7691 0.0000
0.0000 0.0000 10.6930
Tl Fe Te Au Se
2 2 2 2 4
direct
0.2116 0.7884 0.7500 Tl
0.7884 0.2116 0.2500 Tl
0.5000 0.5000 0.0000 Fe
0.5000 0.5000 0.5000 Fe
0.4687 0.5313 0.2500 Te
0.5313 0.4687 0.7500 Te
0.1326 0.8674 0.2500 Au
0.8674 0.1326 0.7500 Au
0.1090 0.8910 0.0146 Se
0.1090 0.8910 0.4854 Se
0.8910 0.1090 0.5146 Se
0.8910 0.1090 0.9854 Se
```

Total DFT energy (no corrections) = -49.457 eV per cell
V = 24.38 Å³/atom



# 2
A plane-wave DFT calculation with GGA-PBE was carried out for a relaxed structure of TlFeTe2AuSe.

```
TlFeTe2AuSe
1.0
2.0011 -7.4189 0.0000
2.0011 7.4189 0.0000
0.0000 0.0000 10.6925
Tl Fe Te Au Se
2 2 4 2 2
direct
0.2426 0.7574 0.7500 Tl
0.7574 0.2426 0.2500 Tl
0.5000 0.5000 0.0000 Fe
0.5000 0.5000 0.5000 Fe
0.1163 0.8837 0.5016 Te
0.1163 0.8837 0.9984 Te
0.8837 0.1163 0.0016 Te
0.8837 0.1163 0.4984 Te
0.1100 0.8900 0.2500 Au
0.8900 0.1100 0.7500 Au
0.4793 0.5207 0.2500 Se
0.5207 0.4793 0.7500 Se
```

Total DFT energy (no corrections) = -47.550 eV per cell
V = 26.46 Å³/atom



# 3
A plane-wave DFT calculation with GGA-PBE was carried out for a relaxed structure of Fe3Si5Au.

```
Fe3Si5Au
1.0
4.8602 0.0000 0.0000
-2.4301 4.2091 0.0000
0.0000 0.0000 6.0885
Fe Si Au
3 5 1
direct
0.0000 0.5000 0.0000 Fe
0.5000 0.0000 0.0000 Fe
0.5000 0.5000 0.0000 Fe
0.0000 0.0000 0.0000 Si
0.3333 0.6667 0.3074 Si
0.3333 0.6667 0.6926 Si
0.6667 0.3333 0.3074 Si
0.6667 0.3333 0.6926 Si
0.0000 0.0000 0.5000 Au
```

Total DFT energy (no corrections) = -55.901 eV per cell
V = 13.84 Å³/atom



# 4
A plane-wave DFT calculation with GGA-PBE was carried out for a relaxed structure of TbFeSi2Au.

```
TbFeSi2Au
1.0
-2.0482 2.0482 5.0419
2.0482 -2.0482 5.0419
2.0482 2.0482 -5.0419
Tb Fe Si Au
1 1 2 1
direct
0.0000 0.0000 0.0000 Tb
0.7500 0.2500 0.5000 Fe
0.3829 0.3829 0.0000 Si
0.6171 0.6171 0.0000 Si
0.2500 0.7500 0.5000 Au
```

Total DFT energy (no corrections) = -29.868 eV per cell
V = 16.92 Å³/atom



# 5
A plane-wave DFT calculation with GGA-PBE was carried out for a relaxed structure of YFeSi2Au.

```
YFeSi2Au
1.0
-2.0467 2.0467 5.0400
2.0467 -2.0467 5.0400
2.0467 2.0467 -5.0400
Y Fe Si Au
1 1 2 1
direct
0.0000 0.0000 0.0000 Y
0.7500 0.2500 0.5000 Fe
0.3830 0.3830 0.0000 Si
0.6170 0.6170 0.0000 Si
0.2500 0.7500 0.5000 Au
```

Total DFT energy (no corrections) = -31.694 eV per cell
V = 16.89 Å³/atom



# 6
A plane-wave DFT calculation with GGA-PBE was carried out for a relaxed structure of SmFeAu.

```
SmFeAu
1.0
0.0000 3.3554 3.3554
3.3554 0.0000 3.3554
3.3554 3.3554 0.0000
Sm Fe Au
1 1 1
direct
0.0000 0.0000 0.0000 Sm
0.2500 0.2500 0.2500 Fe
0.7500 0.7500 0.7500 Au
```

E_form = 143 kJ/mol of formula units
Total DFT energy (no corrections) = -14.808 eV per cell
V = 25.18 Å³/atom



# 7
A plane-wave DFT calculation with GGA-PBE was carried out for a relaxed structure of SmFeAu.

```
SmFeAu
1.0
0.0000 3.2039 3.2039
3.2039 0.0000 3.2039
3.2039 3.2039 0.0000
Sm Fe Au
1 1 1
direct
0.0000 0.0000 0.0000 Sm
0.7500 0.7500 0.7500 Fe
0.5000 0.5000 0.5000 Au
```

E_form = 21 kJ/mol of formula units
Total DFT energy (no corrections) = -16.068 eV per cell
V = 21.93 Å³/atom



# 8
A plane-wave DFT calculation with GGA-PBE was carried out for a relaxed structure of FeSnAu2.

```
FeSnAu2
1.0
0.0000 3.3042 3.3042
3.3042 0.0000 3.3042
3.3042 3.3042 0.0000
Fe Sn Au
1 1 2
direct
0.0000 0.0000 0.0000 Fe
0.7500 0.7500 0.7500 Sn
0.2500 0.2500 0.2500 Au
0.5000 0.5000 0.5000 Au
```

Total DFT energy (no corrections) = -18.205 eV per cell
V = 18.04 Å³/atom



# 9
A plane-wave DFT calculation with GGA-PBE was carried out for a relaxed structure of FeSn2Au.

```
FeSn2Au
1.0
0.0000 3.4729 3.4729
3.4729 0.0000 3.4729
3.4729 3.4729 0.0000
Fe Sn Au
1 2 1
direct
0.0000 0.0000 0.0000 Fe
0.5000 0.5000 0.5000 Sn
0.7500 0.7500 0.7500 Sn
0.2500 0.2500 0.2500 Au
```

Total DFT energy (no corrections) = -17.973 eV per cell
V = 20.94 Å³/atom



# 10
A plane-wave DFT calculation with GGA-PBE was carried out for a relaxed structure of TaFeSnAu.

```
TaFeSnAu
1.0
0.0000 3.2543 3.2543
3.2543 0.0000 3.2543
3.2543 3.2543 0.0000
Ta Fe Sn Au
1 1 1 1
direct
0.0000 0.0000 0.0000 Ta
0.7500 0.7500 0.7500 Fe
0.5000 0.5000 0.5000 Sn
0.2500 0.2500 0.2500 Au
```

Total DFT energy (no corrections) = -26.424 eV per cell
V = 17.23 Å³/atom



# 11
A plane-wave DFT calculation with GGA-PBE was carried out for a relaxed structure of TaFeSnAu.

```
TaFeSnAu
1.0
0.0000 3.2638 3.2638
3.2638 0.0000 3.2638
3.2638 3.2638 0.0000
Ta Fe Sn Au
1 1 1 1
direct
0.0000 0.0000 0.0000 Ta
0.5000 0.5000 0.5000 Fe
0.2500 0.2500 0.2500 Sn
0.7500 0.7500 0.7500 Au
```

Total DFT energy (no corrections) = -26.318 eV per cell
V = 17.38 Å³/atom



# 12
A plane-wave DFT calculation with GGA-PBE was carried out for a relaxed structure of FeTcSnAu.

```
FeTcSnAu
1.0
0.0000 3.1953 3.1953
3.1953 0.0000 3.1953
3.1953 3.1953 0.0000
Fe Tc Sn Au
1 1 1 1
direct
0.0000 0.0000 0.0000 Fe
0.5000 0.5000 0.5000 Tc
0.7500 0.7500 0.7500 Sn
0.2500 0.2500 0.2500 Au
```

Total DFT energy (no corrections) = -24.745 eV per cell
V = 16.31 Å³/atom



# 13
A plane-wave DFT calculation with GGA-PBE was carried out for a relaxed structure of ZnFeSnAu.

```
ZnFeSnAu
1.0
0.0000 3.2271 3.2271
3.2271 0.0000 3.2271
3.2271 3.2271 0.0000
Zn Fe Sn Au
1 1 1 1
direct
0.0000 0.0000 0.0000 Zn
0.7500 0.7500 0.7500 Fe
0.5000 0.5000 0.5000 Sn
0.2500 0.2500 0.2500 Au
```

Total DFT energy (no corrections) = -16.213 eV per cell
V = 16.80 Å³/atom



# 14
A plane-wave DFT calculation with GGA-PBE was carried out for a relaxed structure of SrFeAu2.

```
SrFeAu2
1.0
0.0000 3.4780 3.4780
3.4780 0.0000 3.4780
3.4780 3.4780 0.0000
Sr Fe Au
1 1 2
direct
0.0000 0.0000 0.0000 Sr
0.7500 0.7500 0.7500 Fe
0.2500 0.2500 0.2500 Au
0.5000 0.5000 0.5000 Au
```

Total DFT energy (no corrections) = -16.032 eV per cell
V = 21.04 Å³/atom



# 15
A plane-wave DFT calculation with GGA-PBE was carried out for a relaxed structure of Sr3FeAu2.

```
Sr3FeAu2
1.0
4.0445 -6.9835 0.0000
4.0445 6.9835 0.0000
0.0000 0.0000 4.1130
Sr Fe Au
3 1 2
direct
0.0000 0.0000 0.0000 Sr
0.0000 0.5000 0.0000 Sr
0.5000 0.0000 0.0000 Sr
0.5000 0.5000 0.5000 Fe
0.1667 0.8333 0.5000 Au
0.8333 0.1667 0.5000 Au
```

Total DFT energy (no corrections) = -18.827 eV per cell
V = 38.72 Å³/atom



# 16
A plane-wave DFT calculation with GGA-PBE was carried out for a relaxed structure of SrFeTe3Au.

```
SrFeTe3Au
1.0
2.1260 -6.9070 0.0000
2.1260 6.9070 0.0000
0.0000 0.0000 11.2911
Sr Fe Te Au
2 2 6 2
direct
0.2294 0.7706 0.7500 Sr
0.7706 0.2294 0.2500 Sr
0.0000 0.0000 0.0000 Fe
0.0000 0.0000 0.5000 Fe
0.0814 0.9186 0.2500 Te
0.3698 0.6302 0.0289 Te
0.3698 0.6302 0.4711 Te
0.6302 0.3698 0.5289 Te
0.6302 0.3698 0.9711 Te
0.9186 0.0814 0.7500 Te
0.4485 0.5515 0.2500 Au
0.5515 0.4485 0.7500 Au
```

Total DFT energy (no corrections) = -50.064 eV per cell
V = 27.63 Å³/atom



# 17
A plane-wave DFT calculation with GGA-PBE was carried out for a relaxed structure of TaFe2Au.

```
TaFe2Au
1.0
0.0000 3.1063 3.1063
3.1063 0.0000 3.1063
3.1063 3.1063 0.0000
Ta Fe Au
1 2 1
direct
0.0000 0.0000 0.0000 Ta
0.5000 0.5000 0.5000 Fe
0.7500 0.7500 0.7500 Fe
0.2500 0.2500 0.2500 Au
```

E_form = 62 kJ/mol of formula units
Total DFT energy (no corrections) = -31.089 eV per cell
V = 14.99 Å³/atom



# 18
A plane-wave DFT calculation with GGA-PBE was carried out for a relaxed structure of TaTlFeAu.

```
TaTlFeAu
1.0
0.0000 3.2446 3.2446
3.2446 0.0000 3.2446
3.2446 3.2446 0.0000
Ta Tl Fe Au
1 1 1 1
direct
0.0000 0.0000 0.0000 Ta
0.2500 0.2500 0.2500 Tl
0.5000 0.5000 0.5000 Fe
0.7500 0.7500 0.7500 Au
```

Total DFT energy (no corrections) = -23.741 eV per cell
V = 17.08 Å³/atom



# 19
A plane-wave DFT calculation with GGA-PBE was carried out for a relaxed structure of TaTlFeAu.

```
TaTlFeAu
1.0
0.0000 3.2800 3.2800
3.2800 0.0000 3.2800
3.2800 3.2800 0.0000
Ta Tl Fe Au
1 1 1 1
direct
0.0000 0.0000 0.0000 Ta
0.5000 0.5000 0.5000 Tl
0.7500 0.7500 0.7500 Fe
0.2500 0.2500 0.2500 Au
```

Total DFT energy (no corrections) = -24.042 eV per cell
V = 17.64 Å³/atom



# 20
A plane-wave DFT calculation with GGA-PBE was carried out for a relaxed structure of TlFeTcAu.

```
TlFeTcAu
1.0
0.0000 3.2400 3.2400
3.2400 0.0000 3.2400
3.2400 3.2400 0.0000
Tl Fe Tc Au
1 1 1 1
direct
0.0000 0.0000 0.0000 Tl
0.2500 0.2500 0.2500 Fe
0.7500 0.7500 0.7500 Tc
0.5000 0.5000 0.5000 Au
```

Total DFT energy (no corrections) = -21.833 eV per cell
V = 17.01 Å³/atom